No. 1
Y2MnNi | PBE | optimized geometry

Structure (CIF):
```
data_Y2MnNi
_chemical_formula_sum 'Y4 Mn2 Ni2'
_cell_length_a 6.495
_cell_length_b 3.522
_cell_length_c 8.254
_cell_angle_alpha 90.00
_cell_angle_beta 102.48
_cell_angle_gamma 90.00
_space_group_name_H-M_alt 'C 1 2/m 1'
_space_group_IT_number 12
_space_group_name_Hall '-C 2y'
loop_
_atom_site_label
_atom_site_type_symbol
_atom_site_fract_x
_atom_site_fract_y
_atom_site_fract_z
Y1 Y 0.240 0.000 0.218
Mn1 Mn 0.000 0.000 0.500
Ni1 Ni 0.000 0.500 0.000
```

## Properties
- ΔH_f (0 K) (eV per atom) = 0.193

=====

No. 2
Te2IrW | PBE | optimized geometry

Structure (CIF):
```
data_Te2IrW
_chemical_formula_sum 'Te6 Ir3 W3'
_cell_length_a 3.1965
_cell_length_b 3.1965
_cell_length_c 30.4092
_cell_angle_alpha 90.00
_cell_angle_beta 90.00
_cell_angle_gamma 120.00
_space_group_name_H-M_alt 'R 3 m'
_space_group_IT_number 160
_space_group_name_Hall 'R 3 -2"'
loop_
_atom_site_label
_atom_site_type_symbol
_atom_site_fract_x
_atom_site_fract_y
_atom_site_fract_z
Te1 Te 0.0000 0.0000 0.0000
Te2 Te 0.0000 0.0000 0.2034
Ir1 Ir 0.0000 0.0000 0.7376
W1 W 0.0000 0.0000 0.4699
```

## Properties
- energy relative to the lowest polymorph listed for this composition (meV per atom) = 215
- ΔE_f (raw) (eV/atom) = 0.36

=====

No. 3
RbMn2Br7 | PBE | optimized geometry

Structure (CIF):
```
data_RbMn2Br7
_chemical_formula_sum 'Rb2 Mn4 Br14'
_cell_length_a 7.510
_cell_length_b 17.364
_cell_length_c 5.154
_cell_angle_alpha 90.00
_cell_angle_beta 90.00
_cell_angle_gamma 90.00
_space_group_name_H-M_alt 'C m m m'
_space_group_IT_number 65
_space_group_name_Hall '-C 2 2'
loop_
_atom_site_label
_atom_site_type_symbol
_atom_site_fract_x
_atom_site_fract_y
_atom_site_fract_z
Rb1 Rb 0.000 0.000 0.000
Mn1 Mn 0.000 0.253 0.500
Br1 Br 0.000 0.254 0.000
Br2 Br 0.000 0.500 0.500
Br3 Br 0.237 0.146 0.500
```

## Properties
- ΔE_f (raw) (eV/atom) = -0.74

=====

No. 4
CrH2Se | PBE | optimized geometry

Structure (CIF):
```
data_CrH2Se
_chemical_formula_sum 'Cr4 H8 Se4'
_cell_length_a 5.495
_cell_length_b 5.495
_cell_length_c 5.495
_cell_angle_alpha 90.00
_cell_angle_beta 90.00
_cell_angle_gamma 90.00
_space_group_name_H-M_alt 'F m -3 m'
_space_group_IT_number 225
_space_group_name_Hall '-F 4 2 3'
loop_
_atom_site_label
_atom_site_type_symbol
_atom_site_fract_x
_atom_site_fract_y
_atom_site_fract_z
Cr1 Cr 0.000 0.000 0.000
H1 H 0.250 0.250 0.250
Se1 Se 0.000 0.000 0.500
```

## Properties
- energy relative to the lowest polymorph listed for this composition (meV per atom) = 596

=====

No. 5
Th3Pd4Au2 | PBE | optimized geometry

Structure (CIF):
```
data_Th3Pd4Au2
_chemical_formula_sum 'Th6 Pd8 Au4'
_cell_length_a 10.655
_cell_length_b 4.012
_cell_length_c 10.457
_cell_angle_alpha 90.00
_cell_angle_beta 115.18
_cell_angle_gamma 90.00
_space_group_name_H-M_alt 'C 1 2/m 1'
_space_group_IT_number 12
_space_group_name_Hall '-C 2y'
loop_
_atom_site_label
_atom_site_type_symbol
_atom_site_fract_x
_atom_site_fract_y
_atom_site_fract_z
Th1 Th 0.000 0.000 0.000
Th2 Th 0.145 0.500 0.680
Pd1 Pd 0.113 0.000 0.459
Pd2 Pd 0.231 0.500 0.078
Au1 Au 0.113 0.500 0.267
```

## Properties
- ΔH_f (0 K) (eV per atom) = -0.765

=====

No. 6
CsNbCrP2 | PBE | optimized geometry

Structure (CIF):
```
data_CsNbCrP2
_chemical_formula_sum 'Cs1 Nb1 Cr1 P2'
_cell_length_a 4.701
_cell_length_b 4.701
_cell_length_c 5.618
_cell_angle_alpha 90.00
_cell_angle_beta 90.00
_cell_angle_gamma 90.00
_space_group_name_H-M_alt 'P 4/m m m'
_space_group_IT_number 123
_space_group_name_Hall '-P 4 2'
loop_
_atom_site_label
_atom_site_type_symbol
_atom_site_fract_x
_atom_site_fract_y
_atom_site_fract_z
Cs1 Cs 0.000 0.000 0.000
Nb1 Nb 0.500 0.500 0.000
Cr1 Cr 0.000 0.000 0.500
P1 P 0.000 0.500 0.500
```

## Properties
- ΔH_f (0 K) (eV per atom) = 1.229

=====

No. 7
TlIr5 | PBE | optimized geometry

Structure (CIF):
```
data_TlIr5
_chemical_formula_sum 'Tl2 Ir10'
_cell_length_a 10.329
_cell_length_b 2.812
_cell_length_c 6.778
_cell_angle_alpha 90.00
_cell_angle_beta 105.87
_cell_angle_gamma 90.00
_space_group_name_H-M_alt 'C 1 m 1'
_space_group_IT_number 8
_space_group_name_Hall 'C -2y'
loop_
_atom_site_label
_atom_site_type_symbol
_atom_site_fract_x
_atom_site_fract_y
_atom_site_fract_z
Tl1 Tl 0.000 0.000 0.000
Ir1 Ir 0.042 0.000 0.600
Ir2 Ir 0.157 0.500 0.349
Ir3 Ir 0.227 0.500 0.950
Ir4 Ir 0.315 0.000 0.657
Ir5 Ir 0.370 0.000 0.289
```

## Properties
- ΔH_f (0 K) (eV per atom) = 0.364

=====

No. 8
La2TlAs | PBE | optimized geometry

Structure (CIF):
```
data_La2TlAs
_chemical_formula_sum 'La8 Tl4 As4'
_cell_length_a 8.374
_cell_length_b 8.374
_cell_length_c 7.410
_cell_angle_alpha 90.00
_cell_angle_beta 90.00
_cell_angle_gamma 90.00
_space_group_name_H-M_alt 'I -4 2 d'
_space_group_IT_number 122
_space_group_name_Hall 'I -4 2bw'
loop_
_atom_site_label
_atom_site_type_symbol
_atom_site_fract_x
_atom_site_fract_y
_atom_site_fract_z
La1 La 0.221 0.750 0.125
Tl1 Tl 0.000 0.000 0.500
As1 As 0.000 0.000 0.000
```

## Properties
- ΔH_f (0 K) (eV per atom) = -0.649
- energy relative to the lowest polymorph listed for this composition (meV per atom) = 284